# PBE CaIrBr2, optimized geometry
data_CaIrBr2
_chemical_formula_sum 'Ca1 Ir1 Br2'
_space_group_name_H-M_alt 'P 1'
_space_group_IT_number 1
_space_group_name_Hall 'P 1'
_cell_length_a 8.640
_cell_length_b 8.640
_cell_length_c 8.640
_cell_angle_alpha 27.23
_cell_angle_beta 27.23
_cell_angle_gamma 27.23
loop_
_atom_site_label
_atom_site_fract_x
_atom_site_fract_y
_atom_site_fract_z
Ca1 0.000 0.000 0.000
Ir1 0.500 0.500 0.500
Br1 0.884 0.884 0.884
Br2 0.116 0.116 0.116
# Formation energy from raw total energies (eV per atom): 0.160
# Density of states at the Fermi level (states/eV per cell): 3.77
# Magnetization (μB per formula unit): 1.32